Density functional theory data (PBE) for a relaxed Ag2Sb3Se6 crystal.

Cell lengths 7.0354, 7.0235, 7.0634 Å; angles 80.08, 69.89, 59.94 degrees
Last column: nearest neighbours and their distance in Å.
Fractional coordinates of all 11 atoms:
Sb (0.3320, 0.3360, 0.0000)  6 Se 2.82-2.93
Sb (0.6680, 0.6640, 0.0000)  6 Se 2.82-2.93
Ag (0.8343, 0.3313, 0.5000)  6 Se 2.80-2.88
Se (0.9198, 0.6594, 0.2519)  3 Sb 2.82-2.90, 2 Ag 2.83-2.88
Se (0.0802, 0.3406, 0.7481)  3 Sb 2.82-2.90, 2 Ag 2.83-2.88
Sb (0.0000, 0.0000, 0.0000)  6 Se 2.87-2.90
Se (0.5792, 0.3406, 0.2519)  3 Sb 2.82-2.90, 2 Ag 2.83-2.88
Ag (0.1657, 0.6687, 0.5000)  6 Se 2.80-2.88
Se (0.4208, 0.6594, 0.7481)  3 Sb 2.82-2.90, 2 Ag 2.83-2.88
Se (0.7614, 0.0000, 0.7428)  2 Ag 2.80, 3 Sb 2.87-2.93
Se (0.2386, 0.0000, 0.2572)  2 Ag 2.80, 3 Sb 2.87-2.93

Summary:
Size of the total moment (μB per atom): 0.000
Symmetry: C2/m (12)
Calculated total energy (eV per atom): -3.743
Formation energy without anion corrections (eV per atom): -0.200

=====

Density functional theory data (PBE) for a relaxed Ag12SbSe6 crystal.

Cell lengths 7.4830, 7.4830, 7.4830 Å; angles 78.61, 101.39, 101.39 degrees
Last column: nearest neighbours and their distance in Å.
Fractional coordinates of all 19 atoms:
Ag (0.1373, 0.8441, 0.5487)  2 Se 2.74, 4 Ag 2.83-3.02
Ag (0.5219, 0.1968, 0.5363)  3 Se 2.76-2.91, 6 Ag 2.83-3.09
Se (0.1743, 0.6869, 0.1796)  5 Ag 2.74-2.91, 1 Sb 2.88
Se (0.8257, 0.3131, 0.8204)  5 Ag 2.74-2.91, 1 Sb 2.88
Ag (0.8032, 0.5363, 0.4781)  3 Se 2.76-2.91, 6 Ag 2.83-3.09
Ag (0.4513, 0.8627, 0.8441)  2 Se 2.74, 4 Ag 2.83-3.02
Se (0.6869, 0.8204, 0.1743)  5 Ag 2.74-2.91, 1 Sb 2.88
Ag (0.8627, 0.1559, 0.4513)  2 Se 2.74, 4 Ag 2.83-3.02
Ag (0.5363, 0.5219, 0.8032)  3 Se 2.76-2.91, 6 Ag 2.83-3.09
Se (0.8204, 0.8257, 0.6869)  5 Ag 2.74-2.91, 1 Sb 2.88
Ag (0.1968, 0.4637, 0.5219)  3 Se 2.76-2.91, 6 Ag 2.83-3.09
Se (0.3131, 0.1796, 0.8257)  5 Ag 2.74-2.91, 1 Sb 2.88
Ag (0.4781, 0.8032, 0.4637)  3 Se 2.76-2.91, 6 Ag 2.83-3.09
Ag (0.1559, 0.5487, 0.8627)  2 Se 2.74, 4 Ag 2.83-3.02
Ag (0.4637, 0.4781, 0.1968)  3 Se 2.76-2.91, 6 Ag 2.83-3.09
Se (0.1796, 0.1743, 0.3131)  5 Ag 2.74-2.91, 1 Sb 2.88
Ag (0.8441, 0.4513, 0.1373)  2 Se 2.74, 4 Ag 2.83-3.02
Sb (0.0000, 0.0000, 0.0000)  6 Se 2.88
Ag (0.5487, 0.1373, 0.1559)  2 Se 2.74, 4 Ag 2.83-3.02

Summary:
Size of the total moment (μB per atom): 0.000
Symmetry: R-3 (148)
Calculated total energy (eV per atom): -3.124
Formation energy without anion corrections (eV per atom): -0.006

=====

Density functional theory data (PBE) for a relaxed Ag3SbSe crystal.

Cell lengths 3.4175, 7.7700, 8.6669 Å; angles 86.69, 89.99, 102.76 degrees
Last column: nearest neighbours and their distance in Å.
Fractional coordinates of all 10 atoms:
Sb (0.1524, 0.3377, 0.6587)  7 Ag 2.86-3.09
Sb (0.8916, 0.8164, 0.7629)  7 Ag 2.86-3.09
Ag (0.7700, 0.5734, 0.4642)  2 Se 2.72, 2 Sb 2.93
Ag (0.9198, 0.8730, 0.0863)  2 Se 2.72, 1 Sb 2.86, 2 Ag 2.94
Ag (0.1245, 0.2810, 0.3353)  2 Se 2.72, 1 Sb 2.86, 2 Ag 2.93-2.94
Se (0.6528, 0.3397, 0.0936)  5 Ag 2.65-2.72
Ag (0.5109, 0.0545, 0.5386)  1 Se 2.65, 2 Ag 2.93-2.94
Ag (0.5336, 0.0997, 0.8830)  1 Se 2.65, 2 Ag 2.94
Se (0.3910, 0.8143, 0.3280)  5 Ag 2.65-2.72
Ag (0.2735, 0.5806, 0.9572)  2 Se 2.72, 2 Sb 2.93

Summary:
Size of the total moment (μB per atom): 0.000
Symmetry: P-1 (2)
Polymorph energy (0 for the lowest one) (meV per atom): 0
Calculated total energy (eV per atom): -3.184
Formation energy without anion corrections (eV per atom): 0.048

=====

Density functional theory data (PBE) for a relaxed Ag2Sb2Se5 crystal.

Cell lengths 7.8306, 7.1137, 10.1663 Å; angles 110.48, 112.65, 90.00 degrees
Last column: nearest neighbours and their distance in Å.
Fractional coordinates of all 18 atoms:
Se (0.2523, 0.0511, 0.2858)  2 Ag 2.64-2.66, 1 Sb 2.68
Se (0.8501, 0.1912, 0.5000)  2 Ag 2.66, 2 Sb 2.72
Se (0.7477, 0.7653, 0.7142)  2 Ag 2.64-2.66, 1 Sb 2.68
Sb (0.1314, 0.6638, 0.2215)  3 Se 2.68-2.72
Se (0.1499, 0.6912, 0.5000)  2 Ag 2.66, 2 Sb 2.72
Sb (0.4099, 0.9423, 0.7785)  3 Se 2.68-2.72
Sb (0.5901, 0.1638, 0.2215)  3 Se 2.68-2.72
Se (0.2106, 0.6735, 0.9093)  1 Sb 2.71, 2 Ag 2.73-2.79
Ag (0.0000, 0.9672, 0.0000)  6 Se 2.66-2.79
Se (0.1987, 0.1735, 0.9093)  1 Sb 2.71, 2 Ag 2.73-2.79
Ag (0.1696, 0.3174, 0.5000)  4 Se 2.64-2.66
Se (0.5335, 0.5511, 0.2858)  2 Ag 2.64-2.66, 1 Sb 2.68
Se (0.7894, 0.7642, 0.0907)  1 Sb 2.71, 2 Ag 2.73-2.79
Se (0.4665, 0.2653, 0.7142)  2 Ag 2.64-2.66, 1 Sb 2.68
Se (0.8013, 0.2642, 0.0907)  1 Sb 2.71, 2 Ag 2.73-2.79
Ag (0.5000, 0.4672, 0.0000)  6 Se 2.66-2.79
Ag (0.8304, 0.8174, 0.5000)  4 Se 2.64-2.66
Sb (0.8686, 0.4423, 0.7784)  3 Se 2.68-2.72

Summary:
Size of the total moment (μB per atom): 0.000
Symmetry: Ima2 (46)
Calculated total energy (eV per atom): -3.550
Formation energy without anion corrections (eV per atom): -0.064

=====

Which formula does entry 2 have? Ag12SbSe6